A relaxed Ba6Na2Cr2Ru2O17 crystal. Source: the Alexandria database, functional GGA+U.

magnetization: 16.06 μB per cell
total DFT energy (no corrections): -380.399 eV per cell
space group: P6_3/mmc (194)

Cell and atoms, written as POSCAR:
```
Ba6Na2Cr2Ru2O17
1.0
5.9259 0.0000 0.0000
-2.9630 5.1320 0.0000
0.0000 0.0000 30.1548
O Ru Ba Cr Na
34 4 12 4 4
direct
0.1754 0.8246 0.4271 O
0.6491 0.8246 0.0729 O
0.1768 0.3535 0.8299 O
0.3535 0.1768 0.1701 O
0.6667 0.3333 0.4954 O
0.6465 0.8232 0.8299 O
0.4862 0.9723 0.7500 O
0.8246 0.1754 0.5729 O
0.5138 0.0277 0.2500 O
0.3535 0.1768 0.3299 O
0.6491 0.8246 0.4271 O
0.3333 0.6667 0.5046 O
0.6465 0.8232 0.6701 O
0.6667 0.3333 0.0046 O
0.1768 0.8232 0.6701 O
0.1754 0.3509 0.4271 O
0.8246 0.6491 0.5729 O
0.3509 0.1754 0.9271 O
0.1768 0.3535 0.6701 O
0.8232 0.1768 0.3299 O
0.1754 0.8246 0.0729 O
0.0277 0.5138 0.7500 O
0.3509 0.1754 0.5729 O
0.4862 0.5138 0.7500 O
0.8232 0.1768 0.1701 O
0.8232 0.6465 0.3299 O
0.8246 0.1754 0.9271 O
0.8232 0.6465 0.1701 O
0.1754 0.3509 0.0729 O
0.1768 0.8232 0.8299 O
0.9723 0.4862 0.2500 O
0.8246 0.6491 0.9271 O
0.3333 0.6667 0.9954 O
0.5138 0.4862 0.2500 O
0.3333 0.6667 0.7037 Ru
0.6667 0.3333 0.2963 Ru
0.3333 0.6667 0.7963 Ru
0.6667 0.3333 0.2037 Ru
0.3333 0.6667 0.3198 Ba
0.6667 0.3333 0.8198 Ba
0.3333 0.6667 0.9079 Ba
0.6667 0.3333 0.6802 Ba
0.6667 0.3333 0.0921 Ba
0.3333 0.6667 0.5921 Ba
0.0000 0.0000 0.5000 Ba
0.0000 0.0000 0.0000 Ba
0.0000 0.0000 0.2500 Ba
0.6667 0.3333 0.4079 Ba
0.0000 0.0000 0.7500 Ba
0.3333 0.6667 0.1802 Ba
0.3333 0.6667 0.0521 Cr
0.6667 0.3333 0.9479 Cr
0.6667 0.3333 0.5521 Cr
0.3333 0.6667 0.4479 Cr
0.0000 0.0000 0.6239 Na
0.0000 0.0000 0.1239 Na
0.0000 0.0000 0.8761 Na
0.0000 0.0000 0.3761 Na
```